1.
Li2AsH | PBE | relaxed

abc: 2.9123 4.4273 4.4272
angles: 105.83 90.02 90.02
Positions (direct):
Li: 0.0000 0.9717 0.0789
Li: 0.0000 0.5789 0.4718
As: 0.5001 0.1498 0.6498
H: 0.4999 0.7995 0.2995

energy above the most stable polymorph in this dataset = 0.152 eV per atom
crystal system = orthorhombic

---

2.
Si3Br | PBE | relaxed

abc: 6.8913 6.8913 6.8913
angles: 31.75 31.75 31.75
Positions (direct):
Br: 0.0000 0.0000 0.0000
Si: 0.7723 0.7723 0.7723
Si: 0.5000 0.5000 0.5000
Si: 0.2277 0.2277 0.2277

energy above the most stable polymorph in this dataset = 0.043 eV per atom
crystal system = trigonal
energy relative to the elements, uncorrected = 301 meV per atom

---

3.
Ba2DyBe2O6 | PBE | relaxed

abc: 5.7092 5.7092 6.6592
angles: 64.62 64.62 60.00
Positions (direct):
Ba: 0.7819 0.7819 0.6544
Ba: 0.2181 0.2181 0.3456
Dy: 0.0000 0.0000 0.0000
Be: 0.4191 0.4191 0.7428
Be: 0.5809 0.5809 0.2572
O: 0.7403 0.7403 0.2477
O: 0.2716 0.7403 0.2477
O: 0.7403 0.2716 0.2477
O: 0.2597 0.7284 0.7523
O: 0.7284 0.2597 0.7523
O: 0.2597 0.2597 0.7523

crystal system = trigonal
energy relative to the elements, uncorrected = -2689 meV per atom